A plane-wave DFT calculation with PBE+U was carried out for an optimized crystal structure of Nd2CoO4. Values from VASP.

```
&SYSTEM
  ibrav = 0, nat = 14, ntyp = 3
/
ATOMIC_SPECIES
Co 58.93 Co.upf
Nd 144.24 Nd.upf
O 16.00 O.upf
CELL_PARAMETERS angstrom
-5.0279 1.0188 -4.4510
5.1575 -4.1234 -1.5895
-4.5334 -1.8871 4.6921
ATOMIC_POSITIONS crystal
Co 0.0000 0.0000 0.0000
Co 0.7500 0.5000 0.2500
Nd 0.3750 0.7500 0.1250
Nd 0.3750 0.2500 0.6250
Nd 0.3750 0.7500 0.6250
Nd 0.8750 0.2500 0.6250
O 0.1324 0.7550 0.3774
O 0.6225 0.2450 0.3774
O 0.6226 0.7550 0.3775
O 0.1274 0.2550 0.3824
O 0.6226 0.2450 0.8676
O 0.1274 0.7450 0.8725
O 0.1275 0.2550 0.8726
O 0.6176 0.7450 0.8726
```

Values from the calculation:
M_tot: 6.00 μB/cell
Space-group type: No. 227
DFT total energy: -7.34 eV/atom
Energy above the most stable polymorph in this dataset: 223.9 meV/atom